Material: Sn2Ge2Te5
Method: DFT, PBE
State: relaxed

Cell: 4.418 8.278 9.235 Å, 104.85 103.88 89.92°
Element x y z (fractional)
Te 0.289 0.799 0.578
Te 0.919 0.431 0.836
Ge 0.159 0.979 0.317
Te 0.711 0.201 0.422
Ge 0.841 0.021 0.683
Te 0.000 0.000 0.000
Te 0.081 0.569 0.164
Sn 0.448 0.712 0.895
Sn 0.552 0.288 0.105

- SG: No. 2
- Formation energy without anion corrections: -5.9 kJ/mol of atoms
- VASP energy: -0.2736 Ry/atom
- Magnetic moment: 0.000 μB/cell